Record 1
{"formula": "Pm6In3Te", "functional": "PBE", "state": "relaxed", "e_form_raw_ev_per_atom": -0.43, "dos_ef_per_ev_atom": 0.8020, "lattice": [[-3.084, -6.163, -3.079], [5.742, -5.320, 4.896], [-6.424, -0.098, 6.631]], "species": ["In", "Pm", "In", "Pm", "Pm", "In", "Pm", "Pm", "In", "In", "In", "Pm", "Pm", "Pm", "Te", "Te", "Pm", "Pm", "Pm", "Pm"], "frac_coords": [[0.446, 0.501, 0.499], [0.584, 0.676, 0.849], [0.498, 0.993, 0.694], [0.775, 0.993, 0.007], [0.202, 0.470, 0.790], [0.498, 0.306, 0.007], [0.084, 0.849, 0.676], [0.702, 0.530, 0.210], [0.998, 0.007, 0.306], [0.998, 0.694, 0.993], [0.946, 0.499, 0.501], [0.686, 0.308, 0.692], [0.186, 0.692, 0.308], [0.202, 0.210, 0.530], [0.510, 0.825, 0.175], [0.010, 0.175, 0.825], [0.084, 0.324, 0.151], [0.702, 0.790, 0.470], [0.584, 0.151, 0.324], [0.275, 0.007, 0.993]]}

***

Record 2
{"formula": "MgTc2Se", "functional": "PBE", "state": "relaxed", "e_form_raw_ev_per_atom": 0.27, "dos_ef_per_ev_atom": 1.0260, "lattice": [[3.088, 0.000, 0.000], [0.000, 3.088, 0.000], [0.000, 0.000, 6.552]], "species": ["Mg", "Tc", "Se", "Tc"], "frac_coords": [[0.500, 0.500, 0.250], [0.000, 0.000, 0.531], [0.500, 0.500, 0.750], [0.000, 0.000, 0.969]]}

***

Record 3
{"formula": "CrHg2Pb", "functional": "PBE", "state": "relaxed", "formation_energy_ev_per_atom": 0.32, "dos_ef_per_ev_atom": 0.4229, "lattice": [[-3.404, 3.914, -3.428], [0.905, 0.218, -6.148], [-1.660, -3.240, 5.041]], "species": ["Cr", "Pb", "Hg", "Hg"], "frac_coords": [[0.250, 0.750, 0.500], [0.750, 0.250, 0.500], [0.032, 0.032, 0.000], [0.468, 0.468, 0.000]]}

***

Record 4
{"formula": "K3GeTe3", "functional": "PBE", "state": "relaxed", "e_form_raw_ev_per_atom": -0.81, "lattice": [[10.682, -0.039, 0.013], [1.563, 10.567, 0.013], [0.734, 0.631, 9.781]], "species": ["Te", "Te", "Te", "Te", "K", "Ge", "Te", "K", "Te", "K", "K", "K", "Ge", "Te", "Te", "Te", "K", "Te", "K", "K", "K", "Te", "K", "Ge", "K", "Ge", "Te", "K"], "frac_coords": [[0.941, 0.438, 0.191], [0.307, 0.495, 0.451], [0.004, 0.805, 0.446], [0.495, 0.307, 0.951], [0.250, 0.245, 0.255], [0.428, 0.927, 0.960], [0.438, 0.941, 0.691], [0.832, 0.343, 0.865], [0.059, 0.562, 0.809], [0.095, 0.905, 0.750], [0.245, 0.250, 0.755], [0.405, 0.595, 0.750], [0.073, 0.572, 0.540], [0.195, 0.996, 0.054], [0.505, 0.693, 0.049], [0.693, 0.505, 0.549], [0.755, 0.750, 0.245], [0.805, 0.004, 0.946], [0.657, 0.168, 0.635], [0.343, 0.832, 0.365], [0.905, 0.095, 0.250], [0.996, 0.195, 0.554], [0.168, 0.657, 0.135], [0.927, 0.428, 0.460], [0.595, 0.405, 0.250], [0.572, 0.073, 0.040], [0.562, 0.059, 0.309], [0.750, 0.755, 0.745]]}

***

Copy entry 3 word for word.
{"formula": "CrHg2Pb", "functional": "PBE", "state": "relaxed", "formation_energy_ev_per_atom": 0.32, "dos_ef_per_ev_atom": 0.4229, "lattice": [[-3.404, 3.914, -3.428], [0.905, 0.218, -6.148], [-1.660, -3.240, 5.041]], "species": ["Cr", "Pb", "Hg", "Hg"], "frac_coords": [[0.250, 0.750, 0.500], [0.750, 0.250, 0.500], [0.032, 0.032, 0.000], [0.468, 0.468, 0.000]]}